## PaIn2CoO8 (GGA+U)

Data for a relaxed PaIn2CoO8 crystal.

Results
* DOS(E_F): 0.0 states/eV/f.u.
* DFT total energy: -6.69 eV per atom
* symmetry: P2/m, No. 10

Lattice parameters (Å, degrees): 4.842 6.560 4.854 90.00 90.17 90.00
Fractional positions:
Pa 0.000 0.000 0.000
In 0.500 0.263 0.500
In 0.500 0.737 0.500
Co 0.000 0.500 0.000
O 0.185 0.278 0.816
O 0.185 0.722 0.816
O 0.268 0.500 0.270
O 0.308 0.000 0.308
O 0.692 0.000 0.692
O 0.732 0.500 0.730
O 0.815 0.278 0.184
O 0.815 0.722 0.184